[1]
First-principles (PBE-GGA) data for La3Sm5Se8 after structural relaxation, as listed in Alexandria via LeMat-Bulk.

Cell: 8.455 8.455 8.455 Å, 59.97 59.97 59.97°
Sites, in units of the cell vectors:
La 0.000 0.500 0.500
La 0.500 0.000 0.500
La 0.500 0.500 0.000
Sm 0.000 0.000 0.000
Sm 0.000 0.000 0.500
Sm 0.000 0.500 0.000
Sm 0.500 0.000 0.000
Sm 0.500 0.500 0.500
Se 0.244 0.750 0.750
Se 0.247 0.247 0.247
Se 0.250 0.250 0.756
Se 0.250 0.756 0.250
Se 0.750 0.244 0.750
Se 0.750 0.750 0.244
Se 0.753 0.753 0.753
Se 0.756 0.250 0.250

Properties
M_tot = 0.00 μB/f.u.
Final energy = -6.0249 eV per atom
Formation energy without anion corrections = -1.884 eV/atom
Volume = 26.7 Å³/atom
Crystal system = trigonal

---

[2]
First-principles (PBE-GGA) data for Pm12Dy2Tl after structural relaxation, as listed in Alexandria via LeMat-Bulk.

Cell: 6.686 6.686 23.737 Å, 90.00 90.00 90.00°
Sites, in units of the cell vectors:
Pm 0.004 0.504 0.093
Pm 0.004 0.996 0.907
Pm 0.083 0.583 0.566
Pm 0.083 0.917 0.434
Pm 0.250 0.250 0.200
Pm 0.250 0.250 0.328
Pm 0.250 0.250 0.672
Pm 0.250 0.250 0.800
Pm 0.417 0.583 0.434
Pm 0.417 0.917 0.566
Pm 0.496 0.504 0.907
Pm 0.496 0.996 0.093
Pm 0.504 0.004 0.907
Pm 0.504 0.496 0.093
Pm 0.583 0.083 0.434
Pm 0.583 0.417 0.566
Pm 0.750 0.750 0.200
Pm 0.750 0.750 0.328
Pm 0.750 0.750 0.672
Pm 0.750 0.750 0.800
Pm 0.917 0.083 0.566
Pm 0.917 0.417 0.434
Pm 0.996 0.004 0.093
Pm 0.996 0.496 0.907
Dy 0.250 0.750 0.248
Dy 0.250 0.750 0.752
Dy 0.750 0.250 0.248
Dy 0.750 0.250 0.752
Tl 0.250 0.750 0.000
Tl 0.750 0.250 0.000

Properties
Calculated formation energy = 0.2439 eV per atom
M_tot = 0.00 μB/f.u.
Final energy = -4.3280 eV per atom
Volume = 35.4 Å³/atom
Crystal system = tetragonal

---

[3]
First-principles (PBE-GGA) data for AcPmTlSb after structural relaxation, as listed in Alexandria via LeMat-Bulk.

Cell: 5.656 5.656 5.656 Å, 60.00 60.00 60.00°
Sites, in units of the cell vectors:
Ac 0.000 0.000 0.000
Pm 0.500 0.500 0.500
Tl 0.250 0.250 0.250
Sb 0.750 0.750 0.750

Properties
M_tot = 0.00 μB/f.u.
Final energy = -4.3817 eV per atom
Formation energy without anion corrections = -0.545 eV/atom
Volume = 32.0 Å³/atom
Crystal system = cubic

---

[4]
First-principles (PBE-GGA) data for LiCa2Hg8 after structural relaxation, as listed in Alexandria via LeMat-Bulk.

Cell: 8.468 8.468 7.013 Å, 110.13 110.13 35.30°
Sites, in units of the cell vectors:
Li 0.000 0.000 0.000
Ca 0.296 0.296 0.327
Ca 0.704 0.704 0.673
Hg 0.109 0.109 0.410
Hg 0.143 0.143 0.875
Hg 0.337 0.337 0.834
Hg 0.490 0.490 0.270
Hg 0.510 0.510 0.730
Hg 0.663 0.663 0.166
Hg 0.857 0.857 0.125
Hg 0.891 0.891 0.590

Properties
Calculated formation energy = -0.3290 eV per atom
M_tot = 0.00 μB/f.u.
Final energy = -1.0864 eV per atom
Volume = 24.6 Å³/atom
Crystal system = monoclinic

---

[5]
First-principles (PBE-GGA) data for Tb3SnPd after structural relaxation, as listed in Alexandria via LeMat-Bulk.

Cell: 8.433 8.433 8.035 Å, 90.02 90.02 81.38°
Sites, in units of the cell vectors:
Tb 0.015 0.200 0.088
Tb 0.075 0.425 0.699
Tb 0.200 0.015 0.588
Tb 0.301 0.486 0.088
Tb 0.425 0.075 0.199
Tb 0.486 0.301 0.588
Tb 0.514 0.699 0.412
Tb 0.575 0.925 0.801
Tb 0.699 0.514 0.912
Tb 0.800 0.985 0.412
Tb 0.925 0.575 0.301
Tb 0.985 0.800 0.912
Sn 0.160 0.840 0.250
Sn 0.340 0.660 0.750
Sn 0.660 0.340 0.250
Sn 0.840 0.160 0.750
Pd 0.191 0.310 0.376
Pd 0.310 0.191 0.876
Pd 0.690 0.809 0.124
Pd 0.809 0.690 0.624

Properties
Calculated formation energy = -0.5716 eV per atom
M_tot = 0.00 μB/f.u.
Final energy = -5.1889 eV per atom
Volume = 28.2 Å³/atom
Crystal system = monoclinic

---

[6]
First-principles (PBE-GGA) data for NdScPO after structural relaxation, as listed in Alexandria via LeMat-Bulk.

Cell: 4.232 4.232 8.812 Å, 90.00 90.00 90.00°
Sites, in units of the cell vectors:
Nd 0.250 0.250 0.123
Nd 0.750 0.750 0.877
Sc 0.250 0.750 0.500
Sc 0.750 0.250 0.500
P 0.250 0.250 0.672
P 0.750 0.750 0.328
O 0.250 0.750 0.000
O 0.750 0.250 0.000

Properties
M_tot = 0.00 μB/f.u.
Final energy = -7.4316 eV per atom
Formation energy without anion corrections = -2.065 eV/atom
Volume = 19.7 Å³/atom
Crystal system = tetragonal

---

[7]
First-principles (PBE-GGA) data for CsBaTeSe2 after structural relaxation, as listed in Alexandria via LeMat-Bulk.

Cell: 6.300 6.300 6.713 Å, 90.00 90.00 90.00°
Sites, in units of the cell vectors:
Cs 0.000 0.000 0.000
Ba 0.500 0.500 0.500
Te 0.500 0.500 0.000
Se 0.000 0.500 0.500
Se 0.500 0.000 0.500

Properties
M_tot = 3.00 μB/f.u.
Final energy = -3.1261 eV per atom
Formation energy without anion corrections = -0.549 eV/atom
Relative energy among the computed polymorphs = 0.571 eV per atom
Volume = 53.3 Å³/atom
Crystal system = tetragonal

---

[8]
First-principles (PBE-GGA) data for Pr2PaSb2N2 after structural relaxation, as listed in Alexandria via LeMat-Bulk.

Cell: 8.890 8.890 8.890 Å, 151.17 151.17 41.22°
Sites, in units of the cell vectors:
Pr 0.112 0.112 0.000
Pr 0.888 0.888 0.000
Pa 0.500 0.500 0.000
Sb 0.310 0.310 0.000
Sb 0.690 0.690 0.000
N 0.000 0.500 0.500
N 0.500 0.000 0.500

Properties
M_tot = 0.00 μB/f.u.
Final energy = -7.4357 eV per atom
Formation energy without anion corrections = -1.157 eV/atom
Volume = 23.3 Å³/atom
Crystal system = tetragonal

---

[9]
First-principles (PBE-GGA) data for NaYAs2Se after structural relaxation, as listed in Alexandria via LeMat-Bulk.

Cell: 4.941 4.941 5.049 Å, 90.00 90.00 90.00°
Sites, in units of the cell vectors:
Na 0.000 0.000 0.000
Y 0.500 0.500 0.500
As 0.000 0.500 0.000
As 0.500 0.000 0.000
Se 0.000 0.000 0.500

Properties
M_tot = 0.00 μB/f.u.
Final energy = -3.9624 eV per atom
Formation energy without anion corrections = 0.151 eV/atom
Relative energy among the computed polymorphs = 0.387 eV per atom
Volume = 24.6 Å³/atom
Crystal system = tetragonal

---

[10]
First-principles (PBE-GGA) data for La4TbY2 after structural relaxation, as listed in Alexandria via LeMat-Bulk.

Cell: 9.128 9.128 9.128 Å, 134.93 101.09 95.82°
Sites, in units of the cell vectors:
La 0.152 0.151 0.001
La 0.244 0.211 0.466
La 0.244 0.778 0.034
La 0.350 0.849 0.501
La 0.650 0.151 0.499
La 0.756 0.222 0.966
La 0.756 0.789 0.534
La 0.848 0.849 0.999
Tb 0.500 0.000 0.000
Tb 0.500 0.500 0.500
Y 0.000 0.500 0.500
Y 0.035 0.285 0.750
Y 0.500 0.500 0.000
Y 0.965 0.715 0.250

Properties
Calculated formation energy = 0.2188 eV per atom
M_tot = 0.00 μB/f.u.
Final energy = -5.1052 eV per atom
Relative energy among the computed polymorphs = 0.150 eV per atom
Volume = 35.5 Å³/atom
Crystal system = orthorhombic

---

[11]
First-principles (PBE-GGA) data for SmThCd4 after structural relaxation, as listed in Alexandria via LeMat-Bulk.

Cell: 5.081 5.081 6.849 Å, 90.11 90.11 60.01°
Sites, in units of the cell vectors:
Sm 0.000 0.000 0.000
Th 0.000 0.000 0.500
Cd 0.333 0.333 0.250
Cd 0.334 0.334 0.750
Cd 0.666 0.666 0.250
Cd 0.667 0.667 0.750

Properties
Calculated formation energy = -0.2526 eV per atom
M_tot = 0.00 μB/f.u.
Final energy = -2.8858 eV per atom
Relative energy among the computed polymorphs = 0.000 eV per atom
Volume = 25.5 Å³/atom
Crystal system = monoclinic

---

[12]
First-principles (PBE-GGA) data for YRhN3 after structural relaxation, as listed in Alexandria via LeMat-Bulk.

Cell: 3.902 3.902 3.902 Å, 90.00 90.00 90.00°
Sites, in units of the cell vectors:
Y 0.000 0.000 0.000
Rh 0.500 0.500 0.500
N 0.000 0.500 0.500
N 0.500 0.000 0.500
N 0.500 0.500 0.000

Properties
M_tot = 0.00 μB/f.u.
Final energy = -7.3776 eV per atom
Formation energy without anion corrections = 0.381 eV/atom
Volume = 11.9 Å³/atom
Crystal system = cubic

---

[13]
First-principles (PBE-GGA) data for BaLa2Y after structural relaxation, as listed in Alexandria via LeMat-Bulk.

Cell: 6.567 6.567 6.706 Å, 99.04 99.04 33.46°
Sites, in units of the cell vectors:
Ba 0.000 0.000 0.000
La 0.242 0.242 0.712
La 0.498 0.498 0.500
Y 0.756 0.756 0.254

Properties
Calculated formation energy = 0.1531 eV per atom
M_tot = 0.00 μB/f.u.
Final energy = -4.4073 eV per atom
Relative energy among the computed polymorphs = 0.047 eV per atom
Volume = 39.3 Å³/atom
Crystal system = monoclinic

---

[14]
First-principles (PBE-GGA) data for TaTi2B2Ru5 after structural relaxation, as listed in Alexandria via LeMat-Bulk.

Cell: 9.352 9.352 3.037 Å, 90.00 90.00 90.00°
Sites, in units of the cell vectors:
Ta 0.000 0.000 0.000
Ta 0.500 0.500 0.000
Ti 0.175 0.325 0.000
Ti 0.325 0.825 0.000
Ti 0.675 0.175 0.000
Ti 0.825 0.675 0.000
B 0.121 0.621 0.000
B 0.379 0.121 0.000
B 0.621 0.879 0.000
B 0.879 0.379 0.000
Ru 0.000 0.500 0.500
Ru 0.073 0.783 0.500
Ru 0.217 0.073 0.500
Ru 0.283 0.573 0.500
Ru 0.427 0.283 0.500
Ru 0.500 0.000 0.500
Ru 0.573 0.717 0.500
Ru 0.717 0.427 0.500
Ru 0.783 0.927 0.500
Ru 0.927 0.217 0.500

Properties
Calculated formation energy = -0.5763 eV per atom
M_tot = 0.00 μB/f.u.
Final energy = -9.3139 eV per atom
Volume = 13.3 Å³/atom
Crystal system = tetragonal

---

[15]
First-principles (PBE-GGA) data for V3SnTe after structural relaxation, as listed in Alexandria via LeMat-Bulk.

Cell: 5.013 5.013 5.013 Å, 90.00 90.00 90.00°
Sites, in units of the cell vectors:
V 0.000 0.000 0.500
V 0.000 0.500 0.000
V 0.500 0.000 0.000
Sn 0.500 0.500 0.500
Te 0.000 0.000 0.000

Properties
M_tot = 8.45 μB/f.u.
Final energy = -5.8577 eV per atom
Formation energy without anion corrections = 1.042 eV/atom
Relative energy among the computed polymorphs = 0.000 eV per atom
Volume = 25.2 Å³/atom
Crystal system = cubic

---

[16]
First-principles (PBE-GGA) data for BaHOsF2 after structural relaxation, as listed in Alexandria via LeMat-Bulk.

Cell: 4.947 4.947 7.738 Å, 90.00 90.00 90.00°
Sites, in units of the cell vectors:
Ba 0.000 0.000 0.000
H 0.500 0.500 0.500
Os 0.000 0.000 0.500
F 0.000 0.500 0.000
F 0.500 0.000 0.000

Properties
M_tot = 5.00 μB/f.u.
Final energy = -4.0647 eV per atom
Volume = 37.9 Å³/atom
Crystal system = tetragonal

---

[17]
First-principles (PBE-GGA) data for CrCoTe4 after structural relaxation, as listed in Alexandria via LeMat-Bulk.

Cell: 6.288 6.288 6.288 Å, 60.00 60.00 60.00°
Sites, in units of the cell vectors:
Cr 0.000 0.000 0.000
Co 0.250 0.250 0.250
Te 0.126 0.625 0.625
Te 0.625 0.126 0.625
Te 0.625 0.625 0.126
Te 0.625 0.625 0.625

Properties
M_tot = 7.15 μB/f.u.
Final energy = -3.7597 eV per atom
Formation energy without anion corrections = 1.123 eV/atom
Volume = 29.3 Å³/atom
Crystal system = cubic

---

[18]
First-principles (PBE-GGA) data for Sm3Ag4Hg2 after structural relaxation, as listed in Alexandria via LeMat-Bulk.

Cell: 5.979 5.979 9.195 Å, 116.59 116.59 48.11°
Sites, in units of the cell vectors:
Sm 0.000 0.000 0.000
Sm 0.334 0.334 0.332
Sm 0.666 0.666 0.668
Ag 0.051 0.051 0.388
Ag 0.272 0.272 0.942
Ag 0.728 0.728 0.058
Ag 0.949 0.949 0.612
Hg 0.388 0.388 0.722
Hg 0.612 0.612 0.278

Properties
Calculated formation energy = -0.3293 eV per atom
M_tot = 0.00 μB/f.u.
Final energy = -3.2366 eV per atom
Volume = 23.7 Å³/atom
Crystal system = monoclinic

---

[19]
First-principles (PBE-GGA) data for LaI2Cl after structural relaxation, as listed in Alexandria via LeMat-Bulk.

Cell: 6.776 6.776 6.776 Å, 143.71 76.15 115.68°
Sites, in units of the cell vectors:
La 0.000 0.000 0.000
I 0.615 0.303 0.312
I 0.991 0.303 0.688
Cl 0.254 0.754 0.500

Properties
M_tot = 0.00 μB/f.u.
Final energy = -4.2309 eV per atom
Formation energy without anion corrections = -1.762 eV/atom
Relative energy among the computed polymorphs = 0.060 eV per atom
Volume = 40.6 Å³/atom
Crystal system = orthorhombic